# 1
# ZrSc2Ta

A relaxed structure of ZrSc2Ta (PBE, the Alexandria database).

```
data_ZrSc2Ta
_chemical_formula_sum 'Zr3 Sc6 Ta3'
_space_group_name_H-M_alt 'R 3 m'
_space_group_IT_number 160
_space_group_name_Hall 'R 3 -2"'
_cell_length_a 3.1206
_cell_length_b 3.1206
_cell_length_c 31.0486
_cell_angle_alpha 90.00
_cell_angle_beta 90.00
_cell_angle_gamma 120.00
loop_
_atom_site_label
_atom_site_fract_x
_atom_site_fract_y
_atom_site_fract_z
Zr1 0.0000 0.0000 0.0000
Sc1 0.0000 0.0000 0.4196
Sc2 0.0000 0.0000 0.5787
Ta1 0.0000 0.0000 0.1658
```

Uncorrected energy (eV per atom): -8.138

***

# 2
# Tb8Mg

A relaxed structure of Tb8Mg (PBE, the Alexandria database).

```
data_Tb8Mg
_chemical_formula_sum 'Tb16 Mg2'
_space_group_name_H-M_alt 'I 4/m m m'
_space_group_IT_number 139
_space_group_name_Hall '-I 4 2'
_cell_length_a 12.254
_cell_length_b 12.254
_cell_length_c 3.732
_cell_angle_alpha 90.00
_cell_angle_beta 90.00
_cell_angle_gamma 90.00
loop_
_atom_site_label
_atom_site_fract_x
_atom_site_fract_y
_atom_site_fract_z
Tb1 0.000 0.335 0.000
Tb2 0.159 0.159 0.500
Mg1 0.000 0.000 0.000
```

Energy above the most stable polymorph in this dataset (eV/atom): 0.050